1.
Li3Cu3Ni (PBE, optimized geometry); density of states at the Fermi level = 6.75 states/eV/cell; energy of formation from the pure elements = -2.7 kJ/mol of atoms
1.0
4.096 0.000 0.000
0.000 6.316 -3.647
0.000 0.000 7.293
Li Cu Ni
6 6 2
direct
0.250 0.144 0.854
0.750 0.854 0.711
0.750 0.856 0.146
0.250 0.146 0.289
0.750 0.289 0.144
0.250 0.711 0.856
0.250 0.552 0.105
0.750 0.448 0.895
0.250 0.553 0.448
0.750 0.447 0.552
0.250 0.895 0.447
0.750 0.105 0.553
0.250 0.333 0.667
0.750 0.667 0.333

=====

2.
AgSb2 (PBE, optimized geometry); density of states at the Fermi level = 3.96 states/eV/cell; uncorrected energy = -3.228 eV per atom
1.0
-4.264 0.152 4.502
-5.965 0.956 -1.409
-4.096 -4.625 0.550
Sb Ag
4 2
direct
0.625 0.125 0.125
0.125 0.625 0.125
0.125 0.125 0.625
0.125 0.125 0.125
0.500 0.500 0.500
0.750 0.750 0.750

=====

3.
KCaPO2 (PBE, optimized geometry); density of states at the Fermi level = 4.28 states/eV/cell; distance to the lowest polymorph of the same formula = 737 meV per atom
1.0
-0.549 2.073 -4.099
-3.157 -3.169 -1.180
-3.815 3.038 2.047
Ca O K P
1 2 1 1
direct
0.500 0.500 0.500
0.000 0.500 0.000
0.500 0.000 0.000
0.000 0.000 0.000
0.000 0.000 0.500

=====

4.
La8AgGe3Br4 (PBE, optimized geometry); density of states at the Fermi level = 9.14 states/eV/cell; uncorrected energy = -5.023 eV per atom
1.0
-3.449 -0.067 -8.204
8.084 -0.377 -3.396
-2.661 -6.015 5.995
La Br Ge Ag
8 4 3 1
direct
0.267 0.266 0.016
0.250 0.734 0.501
0.750 0.266 0.499
0.750 0.266 0.016
0.258 0.275 0.517
0.742 0.725 0.483
0.250 0.734 0.984
0.733 0.734 0.984
0.000 0.000 0.000
0.000 0.000 0.500
0.500 0.000 0.000
0.500 0.000 0.500
0.000 0.500 0.500
0.500 0.500 0.000
0.500 0.500 0.500
0.000 0.500 0.000

=====

5.
TbAl2S4 (PBE, optimized geometry); density of states at the Fermi level = 4.89 states/eV/cell; distance to the lowest polymorph of the same formula = 0 meV per atom
1.0
6.877 0.000 3.464
3.438 6.839 1.732
0.689 0.000 7.189
Tb S Al
2 8 4
direct
0.908 0.000 0.000
0.658 0.500 0.500
0.686 0.154 0.746
0.107 0.814 0.261
0.118 0.314 0.239
0.181 0.654 0.754
0.590 0.346 0.246
0.671 0.686 0.761
0.586 0.846 0.254
0.182 0.186 0.739
0.912 0.826 0.630
0.293 0.326 0.870
0.488 0.674 0.130
0.369 0.174 0.370

=====

6.
BaLi2In4Pt (PBE, optimized geometry); density of states at the Fermi level = 3.70 states/eV/cell; energy of formation from the pure elements = -40.8 kJ/mol of atoms
1.0
-2.912 2.166 -2.900
-2.978 -2.468 -2.574
-9.120 0.539 5.840
Li In Pt Ba
2 4 1 1
direct
0.777 0.777 0.670
0.223 0.223 0.330
0.131 0.131 0.607
0.869 0.869 0.393
0.409 0.409 0.773
0.591 0.591 0.227
0.500 0.500 0.500
0.000 0.000 0.000

=====

7.
InRePt2 (PBE, optimized geometry); density of states at the Fermi level = 2.34 states/eV/cell; energy of formation from the pure elements = -1.0 kJ/mol of atoms
1.0
-4.606 0.509 1.429
-4.518 -1.736 -0.302
0.019 -3.121 4.048
Pt Re In
2 1 1
direct
0.003 0.003 0.996
0.244 0.244 0.277
0.500 0.500 0.460
0.753 0.753 0.767

=====

8.
Ac8Ir6Cl (PBE, optimized geometry); density of states at the Fermi level = 4.77 states/eV/cell; uncorrected energy = -6.554 eV per atom
1.0
-3.838 -2.220 1.245
6.065 -7.192 5.872
-3.801 9.254 4.787
Cl Ir Ac
1 6 8
direct
0.500 0.000 0.000
0.247 0.510 0.668
0.247 0.158 0.490
0.247 0.332 0.842
0.753 0.668 0.158
0.753 0.490 0.332
0.753 0.842 0.510
0.252 0.667 0.333
0.743 0.348 0.026
0.743 0.678 0.652
0.748 0.333 0.667
0.743 0.974 0.322
0.257 0.026 0.678
0.257 0.652 0.974
0.257 0.322 0.348

=====

9.
LiRh2Se (PBE, optimized geometry); density of states at the Fermi level = 1.92 states/eV/cell; uncorrected energy = -5.288 eV per atom
1.0
4.065 -0.008 0.000
0.009 4.065 0.000
0.000 0.000 3.345
Li Rh Se
1 2 1
direct
0.000 0.500 0.500
0.500 0.500 0.000
0.000 0.000 0.000
0.500 0.000 0.500

=====

10.
CuB2AuSe (PBE, optimized geometry); density of states at the Fermi level = 1.20 states/eV/cell; uncorrected energy = -3.780 eV per atom
1.0
-3.121 2.147 0.490
-0.643 -2.091 5.064
2.157 2.808 1.434
B Se Cu Au
2 1 1 1
direct
0.500 0.000 0.000
0.000 0.000 0.500
0.500 0.500 0.500
0.000 0.000 0.000
0.000 0.500 0.000

=====

11.
FeSiBP (PBE, optimized geometry); density of states at the Fermi level = 2.92 states/eV/cell; distance to the lowest polymorph of the same formula = 227 meV per atom
1.0
5.070 0.000 0.005
0.000 2.744 0.000
-1.577 0.000 6.760
Fe P Si B
2 2 2 2
direct
0.979 0.500 0.344
0.979 0.000 0.844
0.781 0.500 0.027
0.781 0.000 0.527
0.249 0.500 0.681
0.249 0.000 0.181
0.660 0.500 0.736
0.660 0.000 0.236

=====

12.
YMoRh (PBE, optimized geometry); density of states at the Fermi level = 3.23 states/eV/cell; energy of formation from the pure elements = 27.4 kJ/mol of atoms; distance to the lowest polymorph of the same formula = 339 meV per atom
1.0
3.159 0.000 0.000
-1.580 2.736 0.000
0.000 0.000 6.706
Rh Y Mo
1 1 1
direct
0.667 0.333 0.309
0.333 0.667 0.662
0.000 0.000 0.029

=====

13.
CePm2As (PBE, optimized geometry); density of states at the Fermi level = 5.01 states/eV/cell; energy of formation from the pure elements = -50.8 kJ/mol of atoms; distance to the lowest polymorph of the same formula = 0 meV per atom
1.0
3.821 0.000 0.000
0.000 3.821 0.000
0.000 0.000 7.469
Ce Pm As
1 2 1
direct
0.500 0.500 0.500
0.000 0.000 0.790
0.000 0.000 0.210
0.500 0.500 0.000

=====

14.
LiSmHoRe (PBE, optimized geometry); density of states at the Fermi level = 3.50 states/eV/cell; energy of formation from the pure elements = 9.5 kJ/mol of atoms
1.0
4.953 0.000 0.000
2.477 4.290 0.000
2.477 1.430 4.044
Sm Re Ho Li
1 1 1 1
direct
0.250 0.250 0.250
0.500 0.500 0.500
0.750 0.750 0.750
0.000 0.000 0.000

=====

15.
CsNa3Tl9 (PBE, optimized geometry); density of states at the Fermi level = 7.14 states/eV/cell; energy of formation from the pure elements = -6.9 kJ/mol of atoms
1.0
1.939 3.907 4.639
5.763 -3.779 5.462
7.069 4.487 -2.364
Tl Na Cs
9 3 1
direct
0.263 0.231 0.231
0.494 0.231 0.769
0.019 0.643 0.361
0.981 0.357 0.639
0.380 0.643 0.639
0.000 0.500 0.000
0.620 0.357 0.361
0.737 0.769 0.769
0.506 0.769 0.231
0.500 0.500 0.000
0.000 0.000 0.500
0.500 0.000 0.500
0.000 0.000 0.000

=====

16.
LiBSe2 (PBE, optimized geometry); density of states at the Fermi level = 2.18 states/eV/cell; uncorrected energy = -3.667 eV per atom
1.0
3.484 0.000 0.000
0.000 3.484 0.000
0.000 0.000 4.927
Li Se B
1 2 1
direct
0.000 0.000 0.500
0.000 0.000 0.000
0.500 0.500 0.500
0.500 0.500 0.000

=====

17.
Y2AuO2 (PBE, optimized geometry); density of states at the Fermi level = 1.05 states/eV/cell; uncorrected energy = -7.828 eV per atom
1.0
-3.227 -1.978 0.955
2.108 -3.266 0.359
0.388 -1.374 6.447
Au Y O
1 2 2
direct
0.000 0.000 0.000
0.342 0.342 0.315
0.658 0.658 0.685
0.750 0.250 0.500
0.250 0.750 0.500

=====

18.
TlCd2Pt (PBE, optimized geometry); density of states at the Fermi level = 2.01 states/eV/cell; energy of formation from the pure elements = 5.7 kJ/mol of atoms; distance to the lowest polymorph of the same formula = 215 meV per atom
1.0
-5.064 -0.636 1.027
0.088 -4.607 -2.422
0.719 -1.395 2.680
Cd Tl Pt
2 1 1
direct
0.500 0.500 0.000
0.000 0.000 0.000
0.000 0.500 0.500
0.500 0.000 0.500

=====

19.
LiHgBr2 (PBE, optimized geometry); density of states at the Fermi level = 2.42 states/eV/cell; distance to the lowest polymorph of the same formula = 116 meV per atom
1.0
3.858 0.000 0.000
0.000 4.320 0.026
0.000 -0.145 7.073
Hg Li Br
1 1 2
direct
0.500 0.250 0.250
0.500 0.750 0.750
0.000 0.574 0.526
0.000 0.926 0.974

=====

20.
NdDyTh (PBE, optimized geometry); density of states at the Fermi level = 8.58 states/eV/cell; energy of formation from the pure elements = 28.5 kJ/mol of atoms; distance to the lowest polymorph of the same formula = 265 meV per atom
1.0
-1.885 5.561 1.819
-2.161 -5.713 0.694
6.186 -3.736 5.215
Nd Th Dy
2 2 2
direct
0.456 0.674 0.131
0.544 0.326 0.869
0.292 0.136 0.428
0.708 0.864 0.572
0.098 0.596 0.693
0.902 0.404 0.307